Entry from Alexandria via LeMat-Bulk: crystalline MnNb2Se4S2 at its relaxed geometry (PBE-GGA).

Output
Space group   No. 156
E_tot   -6.3953 eV per atom
Total magnetization   3.04 μB/f.u.

Cell and atoms, written as extended XYZ:
```
9
Lattice="-0.3443 -1.7028 2.9651 -0.4005 -1.6520 -2.9867 19.9690 -4.4317 -0.2266" Properties=species:S:1:pos:R:3 pbc="T T T"
Mn 6.5560 -1.4550 -0.0744
Nb 19.7240 -4.3773 -0.2239
Nb 12.4769 -4.5354 0.8354
Se 11.1833 -2.4819 -0.1269
Se 1.0498 -1.9994 0.9651
Se 17.7011 -5.6948 0.7762
Se 14.5020 -3.2184 -0.1646
S 7.5063 -3.4323 0.8919
S 4.8773 -2.8489 0.9217
```

=====

Entry from Alexandria via LeMat-Bulk: crystalline Ta2Mn2NbS6 at its relaxed geometry (PBE-GGA).

Output
Space group   No. 162
E_tot   -7.7729 eV per atom
Total magnetization   5.17 μB/f.u.

Cell and atoms, written as extended XYZ:
```
11
Lattice="5.7183 -0.0605 0.5197 -2.8789 4.9411 0.5197 -0.5603 -0.9632 6.0486" Properties=species:S:1:pos:R:3 pbc="T T T"
Ta -0.2912 2.7911 3.5440
Ta 2.5703 1.1264 3.5440
Mn 2.8543 1.6057 0.5197
Mn -0.0149 3.2749 0.5197
Nb -0.2802 -0.4816 3.0243
S 1.4693 2.5256 5.3239
S 4.3345 0.8413 5.3190
S 0.8098 1.3919 1.7642
S -1.4110 4.1839 5.3190
S -2.0555 3.0762 1.7691
S 3.6901 -0.2664 1.7691
```

=====

Entry from Alexandria via LeMat-Bulk: crystalline TaMnNb2S6 at its relaxed geometry (PBE-GGA).

Output
Space group   No. 15
E_tot   -7.3971 eV per atom
Total magnetization   2.24 μB/f.u.

Cell and atoms, written as extended XYZ:
```
20
Lattice="-2.4811 0.9492 -4.9157 5.7435 -1.3367 -6.3010 -4.2137 -7.1401 -2.3959" Properties=species:S:1:pos:R:3 pbc="T T T"
Ta 4.4882 -1.4695 -7.2809
Ta -5.4395 -6.0580 -6.3317
Mn -3.2076 -5.9548 -4.2627
Mn 2.2562 -1.5727 -9.3499
Nb 0.6359 -4.0419 -7.8984
Nb 1.4983 -2.8850 -3.9799
Nb -1.5872 -3.4856 -5.7142
Nb -2.4497 -4.6426 -9.6326
S 1.4135 -6.5667 -8.7503
S 0.2389 -0.6409 -2.9390
S -2.3649 -0.9608 -4.8622
S -1.1902 -6.8866 -10.6735
S 2.9278 -3.3167 -8.1019
S 2.9484 -1.4291 -5.2440
S -3.8791 -4.2108 -5.5107
S -3.8998 -6.0984 -8.3686
S -0.2052 -3.8585 -10.1920
S 0.0797 -1.9900 -6.6888
S -0.7462 -3.6691 -3.4206
S -1.0311 -5.5375 -6.9237
```

=====

Entry from Alexandria via LeMat-Bulk: crystalline MnNbTcS2 at its relaxed geometry (PBE-GGA).

Output
Space group   No. 123
E_tot   -6.6482 eV per atom
Total magnetization   7.33 μB/f.u.

Cell and atoms, written as extended XYZ:
```
5
Lattice="4.7056 0.0000 0.0000 0.0000 4.9946 0.0000 0.0000 0.0000 4.7056" Properties=species:S:1:pos:R:3 pbc="T T T"
S 0.0000 0.0000 2.3528
S 2.3528 0.0000 0.0000
Nb 0.0000 0.0000 0.0000
Mn 0.0000 2.4973 0.0000
Tc 2.3528 2.4973 2.3528
```

=====

Entry from Alexandria via LeMat-Bulk: crystalline MnNbTc2S at its relaxed geometry (PBE-GGA).

Output
Space group   No. 123
E_tot   -6.9717 eV per atom
Total magnetization   2.63 μB/f.u.

Cell and atoms, written as extended XYZ:
```
5
Lattice="4.7450 0.0000 0.0000 0.0000 4.6614 0.0000 0.0000 0.0000 4.7450" Properties=species:S:1:pos:R:3 pbc="T T T"
S 0.0000 2.3307 0.0000
Nb 0.0000 0.0000 0.0000
Mn 2.3725 2.3307 2.3725
Tc 0.0000 0.0000 2.3725
Tc 2.3725 0.0000 0.0000
```

=====

Entry from Alexandria via LeMat-Bulk: crystalline MnNb2Te4S2 at its relaxed geometry (PBE-GGA).

Output
Space group   No. 156
E_tot   -5.5721 eV per atom
Total magnetization   0.78 μB/f.u.

Cell and atoms, written as extended XYZ:
```
9
Lattice="3.5922 0.0000 0.0000 -1.7961 3.1109 0.0000 0.0000 0.0000 20.5274" Properties=species:S:1:pos:R:3 pbc="T T T"
Mn 0.0000 0.0000 6.4195
Nb 0.0000 0.0000 20.0595
Nb 1.7961 1.0370 15.3898
Te 0.0000 0.0000 13.5615
Te 1.7961 1.0370 18.1909
Te 1.7961 1.0370 1.4285
Te 0.0000 0.0000 8.8104
S 1.7961 1.0370 5.6793
S 1.7961 1.0370 10.5760
```

=====

Entry from Alexandria via LeMat-Bulk: crystalline Mn3NbTl3S8 at its relaxed geometry (PBE-GGA).

Output
Space group   No. 12
E_tot   -5.7452 eV per atom
Total magnetization   12.99 μB/f.u.

Cell and atoms, written as extended XYZ:
```
15
Lattice="7.2218 0.0000 0.0000 -3.6109 6.2321 -0.0317 0.0000 -4.1311 7.4809" Properties=species:S:1:pos:R:3 pbc="T T T"
Mn 3.6109 -2.0655 3.7404
Mn 1.8054 1.0505 3.7246
Mn -1.8054 1.0505 3.7246
Nb 0.0000 -2.0655 3.7404
Tl 0.0000 0.0000 0.0000
Tl -1.8054 3.1161 -0.0158
Tl 1.8054 3.1161 -0.0158
S 0.0000 2.0837 2.4366
S 3.6109 0.0174 5.0126
S 3.6109 2.0765 2.3440
S 0.0000 0.0245 5.1052
S 5.4145 -1.0205 2.3638
S -1.8036 3.1216 5.0854
S 1.8073 -1.0205 2.3638
S 1.8036 3.1216 5.0854
```

=====

Entry from Alexandria via LeMat-Bulk: crystalline Mn2NbTl2S6 at its relaxed geometry (PBE-GGA).

Output
Space group   No. 12
E_tot   -5.8487 eV per atom
Total magnetization   4.42 μB/f.u.

Cell and atoms, written as extended XYZ:
```
11
Lattice="-1.7618 5.5949 0.2582 -1.6022 -3.3724 -4.5315 -5.4776 -2.9377 5.3174" Properties=species:S:1:pos:R:3 pbc="T T T"
Mn -4.3940 -1.8620 -0.2815
Mn -4.4476 1.1469 1.3257
Nb -2.7388 -1.4689 2.6587
Tl -1.7357 4.1248 -0.5270
Tl -1.6284 -1.9022 -3.7462
S -6.0590 -0.4232 0.5905
S -4.4507 -3.0558 1.7627
S -2.7826 -0.2919 0.4537
S -4.5071 0.1102 3.4537
S -4.3909 2.3407 -0.7185
S -4.3345 -0.8253 -2.4095
```

=====

Entry from Alexandria via LeMat-Bulk: crystalline MnNb2Tl2S6 at its relaxed geometry (PBE-GGA).

Output
Space group   No. 12
E_tot   -6.0558 eV per atom
Total magnetization   1.11 μB/f.u.

Cell and atoms, written as extended XYZ:
```
11
Lattice="-4.3628 3.9612 1.0360 -0.2808 -3.8954 -4.5327 -2.1725 -5.3251 5.9203" Properties=species:S:1:pos:R:3 pbc="T T T"
Mn -1.0862 -2.6625 2.9602
Nb -2.8304 -3.7415 0.4237
Nb -3.9857 -1.5177 1.9999
Tl -3.6497 2.5888 0.0633
Tl -0.9939 -2.5229 -3.5599
S -5.0252 -3.6690 1.4929
S -1.7600 -4.8478 2.3454
S -1.7909 -1.5902 0.9308
S -3.0915 -2.2851 4.1618
S -5.0560 -0.4114 0.0783
S -3.7246 -2.9741 -1.7382
```

=====

Entry from Alexandria via LeMat-Bulk: crystalline MnNbTl2S4 at its relaxed geometry (PBE-GGA).

Output
Space group   No. 82
E_tot   -5.6043 eV per atom
Total magnetization   3.99 μB/f.u.

Cell and atoms, written as extended XYZ:
```
8
Lattice="-4.2380 1.6261 -5.2632 0.6622 -6.5360 2.2691 -1.4861 1.7521 6.5595" Properties=species:S:1:pos:R:3 pbc="T T T"
Mn -3.0680 0.4932 2.8553
Nb -0.4120 -2.3919 4.4143
Tl -1.9939 -3.6509 0.7101
Tl 0.0000 0.0000 0.0000
S -3.0153 -0.6764 0.8078
S -1.1726 -0.2184 4.0654
S -3.6806 -1.7280 -2.7356
S -2.2553 -3.6927 4.9932
```

=====

Entry from Alexandria via LeMat-Bulk: crystalline Mn2NbWS at its relaxed geometry (PBE-GGA).

Output
Space group   No. 123
E_tot   -8.7294 eV per atom
Total magnetization   0.00 μB/f.u.

Cell and atoms, written as extended XYZ:
```
5
Lattice="-2.7785 -2.7557 -1.1602 -0.2231 -1.5311 4.1712 -2.9830 2.6632 0.8181" Properties=species:S:1:pos:R:3 pbc="T T T"
Nb -2.9923 -0.8118 1.9145
Mn -1.4915 1.3316 0.4090
Mn -1.3893 -1.3779 -0.5801
S 0.0000 0.0000 0.0000
W -0.1115 -0.7656 2.0856
```

=====

Entry from Alexandria via LeMat-Bulk: crystalline Mn3NbSb at its relaxed geometry (PBE-GGA).

Output
Space group   No. 221
E_tot   -7.1850 eV per atom
Total magnetization   8.18 μB/f.u.
Distance to the lowest polymorph of the same formula   0 meV per atom

Cell and atoms, written as extended XYZ:
```
5
Lattice="4.7172 0.0000 0.0000 0.0000 4.7172 0.0000 0.0000 0.0000 4.7172" Properties=species:S:1:pos:R:3 pbc="T T T"
Sb 2.3586 2.3586 2.3586
Nb 0.0000 0.0000 0.0000
Mn 0.0000 2.3586 0.0000
Mn 0.0000 0.0000 2.3586
Mn 2.3586 0.0000 0.0000
```

=====

> Look up the E_tot of the fourth one.

-6.6482 eV per atom

=====

> E_tot of number 5 (MnNbTc2S)?

-6.9717 eV per atom

=====

> Which formula does entry 1 have?

MnNb2Se4S2

=====

> What is the total magnetization in the third record?

2.24 μB/f.u.